(1)
Below is a relaxed structure of KY2Ta, with properties calculated at the PBE level.

Geometry as POSCAR:
```
KY2Ta
1.0
-1.7943 3.5746 3.1002
-0.3020 1.3067 4.8795
7.3414 4.6564 -0.2225
Y Ta K
2 1 1
direct
0.9831 0.9831 0.0775
0.5169 0.5169 0.4225
0.2500 0.2500 0.2500
0.7500 0.7500 0.7500
```

Formation energy (eV per atom): 0.72
V (Å³ per cell): 135.0



(2)
Below is a relaxed structure of KYTa2, with properties calculated at the PBE level.

Geometry as POSCAR:
```
KYTa2
1.0
3.4911 0.0000 0.0000
0.0000 3.4905 0.0183
0.0000 3.4542 9.9074
Y Ta K
1 2 1
direct
0.0000 0.5876 0.4106
0.5000 0.2877 0.2115
0.0000 0.9094 0.0903
0.5000 0.7154 0.7876
```

Formation energy (eV per atom): 0.52
V (Å³ per cell): 120.5



(3)
Below is a relaxed structure of KY2Ta, with properties calculated at the PBE level.

Geometry as POSCAR:
```
KY2Ta
1.0
-4.9628 1.6252 0.8888
-0.4939 -2.5262 1.8618
2.5725 4.1865 6.7084
K Y Ta
1 2 1
direct
0.0000 0.6008 0.5150
0.5000 0.1234 0.1758
0.0000 0.1337 0.9471
0.5000 0.6420 0.8620
```

Formation energy (eV per atom): 0.73
V (Å³ per cell): 139.9



(4)
Below is a relaxed structure of KY2Ta, with properties calculated at the PBE level.

Geometry as POSCAR:
```
KY2Ta
1.0
3.9279 0.0000 0.0000
0.0000 3.9279 0.0000
0.0000 0.0000 9.1312
Y Ta K
2 1 1
direct
0.5000 0.5000 0.1726
0.0000 0.0000 0.9533
0.5000 0.5000 0.8363
0.0000 0.0000 0.5378
```

Formation energy (eV per atom): 0.79
V (Å³ per cell): 140.9



(5)
Below is a relaxed structure of KYTa2, with properties calculated at the PBE level.

Geometry as POSCAR:
```
KYTa2
1.0
-0.5469 -4.1822 2.8884
4.6998 -1.5571 -1.2728
-0.7249 4.6421 2.0145
Ta K Y
2 1 1
direct
0.0000 0.0000 0.0000
0.2500 0.7500 0.5000
0.7500 0.2500 0.5000
0.5000 0.5000 0.0000
```

Formation energy (eV per atom): 1.24
V (Å³ per cell): 94.0



(6)
Below is a relaxed structure of KYTa2, with properties calculated at the PBE level.

Geometry as POSCAR:
```
KYTa2
1.0
-0.7956 1.4311 3.4359
-2.3968 -2.8851 0.6467
6.1699 -4.3950 3.2593
Ta K Y
2 1 1
direct
0.0000 0.0000 0.0903
0.0000 0.0000 0.4097
0.5000 0.5000 0.7500
0.5000 0.5000 0.2500
```

Formation energy (eV per atom): 1.19
V (Å³ per cell): 119.5



(7)
Below is a relaxed structure of KYTa2, with properties calculated at the PBE level.

Geometry as POSCAR:
```
KYTa2
1.0
5.7155 -0.0056 0.0208
4.9017 2.9393 0.0208
0.3362 0.0929 7.4342
K Ta Y
1 2 1
direct
0.2500 0.2500 0.2500
0.0101 0.0101 0.8946
0.4899 0.4899 0.6054
0.7500 0.7500 0.7500
```

Formation energy (eV per atom): 0.93
V (Å³ per cell): 125.1



(8)
Below is a relaxed structure of KY2Ta, with properties calculated at the PBE level.

Geometry as POSCAR:
```
KY2Ta
1.0
6.9383 -0.0019 -0.0180
3.0805 6.2169 0.0180
-3.8580 -4.9636 2.9358
K Ta Y
1 1 2
direct
0.7500 0.2500 0.5000
0.2500 0.7500 0.5000
0.4623 0.4623 0.0000
0.0377 0.0377 0.0000
```

Formation energy (eV per atom): 0.88
V (Å³ per cell): 127.1



(9)
Below is a relaxed structure of KY2Ta, with properties calculated at the PBE level.

Geometry as POSCAR:
```
KY2Ta
1.0
0.0000 3.8864 3.8864
3.8864 0.0000 3.8864
3.8864 3.8864 0.0000
Ta Y K
1 2 1
direct
0.5000 0.5000 0.5000
0.2500 0.2500 0.2500
0.7500 0.7500 0.7500
0.0000 0.0000 0.0000
```

Formation energy (eV per atom): 0.92
V (Å³ per cell): 117.4



(10)
Below is a relaxed structure of KY2Ta, with properties calculated at the PBE level.

Geometry as POSCAR:
```
KY2Ta
1.0
-2.1589 2.3148 -0.6253
-1.4624 -0.6043 2.8118
7.0825 8.0690 5.4177
Y K Ta
2 1 1
direct
0.5000 0.5000 0.2172
0.0000 0.0000 0.9684
0.0000 0.0000 0.5233
0.5000 0.5000 0.7910
```

Formation energy (eV per atom): 0.65
V (Å³ per cell): 125.2



(11)
Below is a relaxed structure of KY2Ta, with properties calculated at the PBE level.

Geometry as POSCAR:
```
KY2Ta
1.0
3.7908 0.0004 -0.0007
-1.8937 6.0595 -0.0002
-1.7983 -2.7416 12.5674
Y K Ta
4 2 2
direct
0.3658 0.6914 0.2352
0.1347 0.0335 0.4411
0.6965 0.9355 0.6765
0.9130 0.4403 0.5988
0.5822 0.5009 0.8841
0.9988 0.1028 0.0725
0.4390 0.6282 0.4554
0.7549 0.3690 0.3402
```

Formation energy (eV per atom): 0.41
V (Å³ per cell): 288.7



(12)
Below is a relaxed structure of KYTa2, with properties calculated at the PBE level.

Geometry as POSCAR:
```
KYTa2
1.0
-7.2393 -9.0249 3.3839
-4.5550 -10.3506 4.1744
-5.9895 -8.4557 6.1591
Ta Y K
2 1 1
direct
0.9917 0.9917 0.9917
0.5083 0.5083 0.5083
0.2500 0.2500 0.2500
0.7500 0.7500 0.7500
```

Formation energy (eV per atom): 0.91
V (Å³ per cell): 99.0



(13)
Below is a relaxed structure of KY2Ta, with properties calculated at the PBE level.

Geometry as POSCAR:
```
KY2Ta
1.0
-0.1891 2.3891 2.9006
-6.0047 2.5313 -0.0373
-5.8695 -7.3825 8.1298
Y Ta K
4 2 2
direct
0.7613 0.1635 0.5916
0.1969 0.4787 0.4051
0.9553 0.0376 0.3292
0.3534 0.8048 0.7666
0.0446 0.5431 0.6458
0.4866 0.7833 0.5213
0.7560 0.6518 0.1132
0.5609 0.2390 0.9236
```

Formation energy (eV per atom): 0.39
V (Å³ per cell): 285.0



(14)
Below is a relaxed structure of KYTa2, with properties calculated at the PBE level.

Geometry as POSCAR:
```
KYTa2
1.0
-4.2340 2.2511 -4.1058
3.2632 -5.3316 -0.8816
-2.0743 -1.4884 1.3231
K Ta Y
1 2 1
direct
0.0000 0.5000 0.5000
0.5000 0.5000 0.0000
0.0000 0.0000 0.0000
0.5000 0.0000 0.5000
```

Formation energy (eV per atom): 1.18
V (Å³ per cell): 95.2



(15)
Below is a relaxed structure of KY2Ta, with properties calculated at the PBE level.

Geometry as POSCAR:
```
KY2Ta
1.0
3.6933 -0.0002 -0.0004
-1.8436 6.1583 0.0009
-1.7977 -2.6826 12.5871
Y Ta K
4 2 2
direct
0.0591 0.9959 0.6264
0.9409 0.0041 0.3736
0.6125 0.4261 0.2933
0.3875 0.5739 0.7067
0.3163 0.6522 0.4799
0.6837 0.3478 0.5201
0.1963 0.7982 0.0866
0.8037 0.2018 0.9134
```

Formation energy (eV per atom): 0.29
V (Å³ per cell): 286.3



(16)
Below is a relaxed structure of KYTa4, with properties calculated at the PBE level.

Geometry as POSCAR:
```
KYTa4
1.0
0.0000 4.1338 4.1338
4.1338 0.0000 4.1338
4.1338 4.1338 0.0000
Ta Y K
4 1 1
direct
0.3797 0.3797 0.3797
0.3797 0.8610 0.3797
0.3797 0.3797 0.8610
0.8610 0.3797 0.3797
0.7500 0.7500 0.7500
0.0000 0.0000 0.0000
```

Formation energy (eV per atom): 0.87
V (Å³ per cell): 141.3



(17)
Below is a relaxed structure of KY2Ta, with properties calculated at the PBE level.

Geometry as POSCAR:
```
KY2Ta
1.0
-2.4020 2.0818 1.4201
-7.1982 -4.1453 -1.9876
-1.0361 -5.8427 8.0618
Y Ta K
4 2 2
direct
0.5822 0.1840 0.3950
0.1693 0.9398 0.6788
0.2915 0.7901 0.3805
0.4637 0.3334 0.6939
0.9352 0.4710 0.4464
0.8188 0.6525 0.6279
0.8696 0.5654 0.0365
0.9251 0.0657 0.0372
```

Formation energy (eV per atom): 0.49
V (Å³ per cell): 286.9



(18)
Below is a relaxed structure of KY2Ta, with properties calculated at the PBE level.

Geometry as POSCAR:
```
KY2Ta
1.0
12.5405 -0.0013 -0.0008
12.0793 3.3696 -0.0008
12.0793 1.6526 2.9365
K Ta Y
1 1 2
direct
0.2500 0.2500 0.2500
0.7500 0.7500 0.7500
0.0171 0.0171 0.0171
0.4829 0.4829 0.4829
```

Formation energy (eV per atom): 0.52
V (Å³ per cell): 124.2



(19)
Below is a relaxed structure of KY2Ta, with properties calculated at the PBE level.

Geometry as POSCAR:
```
KY2Ta
1.0
-1.9632 1.9814 -1.8301
-6.9175 -6.7337 0.1304
-2.8329 3.0327 6.3223
Ta K Y
2 2 4
direct
0.5000 0.5000 0.4106
0.0000 0.0000 0.9106
0.5000 0.0000 0.3082
0.0000 0.5000 0.8082
0.0000 0.6913 0.1704
0.0000 0.3087 0.1704
0.5000 0.8087 0.6704
0.5000 0.1913 0.6704
```

Formation energy (eV per atom): 0.84
V (Å³ per cell): 243.6



(20)
Below is a relaxed structure of KYTa2, with properties calculated at the PBE level.

Geometry as POSCAR:
```
KYTa2
1.0
6.5309 0.0065 0.0043
-3.6995 5.3820 0.0043
0.3739 0.7116 2.6994
Ta K Y
2 1 1
direct
0.5000 0.5000 0.0000
0.0000 0.0000 0.0000
0.0000 0.5000 0.5000
0.5000 0.0000 0.5000
```

Formation energy (eV per atom): 1.15
V (Å³ per cell): 94.9



(21)
Below is a relaxed structure of KY3Ta, with properties calculated at the PBE level.

Geometry as POSCAR:
```
KY3Ta
1.0
5.2126 0.0000 0.0000
0.0000 5.2126 0.0000
0.0000 0.0000 5.2126
Y Ta K
3 1 1
direct
0.0000 0.5000 0.0000
0.5000 0.0000 0.0000
0.0000 0.0000 0.5000
0.5000 0.5000 0.5000
0.0000 0.0000 0.0000
```

Formation energy (eV per atom): 1.72
V (Å³ per cell): 141.6



(22)
Below is a relaxed structure of KY2Ta, with properties calculated at the PBE level.

Geometry as POSCAR:
```
KY2Ta
1.0
8.0108 0.0000 0.0020
0.0000 3.6937 0.0000
-3.6188 0.0000 9.0535
Y K Ta
4 2 2
direct
0.4953 0.0000 0.9151
0.0612 0.5000 0.6955
0.4779 0.5000 0.3093
0.3420 0.0000 0.5427
0.0329 0.0000 0.0137
0.9023 0.5000 0.2760
0.6624 0.5000 0.7101
0.7296 0.0000 0.5395
```

Formation energy (eV per atom): 0.52
V (Å³ per cell): 267.9



(23)
Below is a relaxed structure of KYTa2, with properties calculated at the PBE level.

Geometry as POSCAR:
```
KYTa2
1.0
2.9590 0.0425 0.0000
-0.9581 2.7999 0.0000
0.0000 0.0000 11.8618
K Ta Y
1 2 1
direct
0.5000 0.5000 0.7500
0.0000 0.0000 0.4714
0.0000 0.0000 0.0286
0.5000 0.5000 0.2500
```

Formation energy (eV per atom): 0.93
V (Å³ per cell): 98.8



(24)
Below is a relaxed structure of KY2Ta, with properties calculated at the PBE level.

Geometry as POSCAR:
```
KY2Ta
1.0
-6.4513 -2.9411 -6.2284
-4.1800 -7.8299 -3.2066
2.8349 6.7539 5.9507
K Ta Y
1 1 2
direct
0.4279 0.4279 0.0000
0.2388 0.7388 0.5000
0.0997 0.0997 0.0000
0.7335 0.2335 0.5000
```

Formation energy (eV per atom): 0.76
V (Å³ per cell): 152.0



(25)
Below is a relaxed structure of KYTa3, with properties calculated at the PBE level.

Geometry as POSCAR:
```
KYTa3
1.0
5.1825 0.0000 0.0000
0.0000 5.1825 0.0000
0.0000 0.0000 5.1825
Ta Y K
3 1 1
direct
0.0000 0.5000 0.0000
0.5000 0.0000 0.0000
0.0000 0.0000 0.5000
0.0000 0.0000 0.0000
0.5000 0.5000 0.5000
```

Formation energy (eV per atom): 2.43
V (Å³ per cell): 139.2



(26)
Below is a relaxed structure of KYTa2, with properties calculated at the PBE level.

Geometry as POSCAR:
```
KYTa2
1.0
5.4814 0.0000 0.0000
0.0000 4.1348 0.0000
0.0000 0.0000 4.1348
Ta K Y
2 1 1
direct
0.0000 0.5000 0.5000
0.0000 0.0000 0.0000
0.5000 0.0000 0.5000
0.5000 0.5000 0.0000
```

Formation energy (eV per atom): 1.24
V (Å³ per cell): 93.7



(27)
Below is a relaxed structure of KYTa2, with properties calculated at the PBE level.

Geometry as POSCAR:
```
KYTa2
1.0
-0.0694 -3.0643 0.5103
2.8745 1.1146 0.3875
-2.2556 1.9185 11.2131
Y Ta K
1 2 1
direct
0.0000 0.0000 0.4494
0.0000 0.0000 0.0518
0.5000 0.5000 0.2271
0.5000 0.5000 0.7716
```

Formation energy (eV per atom): 0.64
V (Å³ per cell): 104.7



(28)
Below is a relaxed structure of KY2Ta, with properties calculated at the PBE level.

Geometry as POSCAR:
```
KY2Ta
1.0
-1.7365 0.0442 2.6889
5.2748 -1.1061 1.6215
1.2519 7.9860 0.2755
Ta Y K
1 2 1
direct
0.2769 0.1286 0.4513
0.0118 0.5962 0.5540
0.7901 0.0966 0.7684
0.4922 0.6189 0.1154
```

Formation energy (eV per atom): 0.74
V (Å³ per cell): 140.0



(29)
Below is a relaxed structure of KYTa2, with properties calculated at the PBE level.

Geometry as POSCAR:
```
KYTa2
1.0
1.1635 -4.2319 2.7702
-3.7476 -3.3235 1.3588
-0.2334 -4.6916 -2.2072
Ta K Y
2 1 1
direct
0.7500 0.7500 0.7500
0.2500 0.2500 0.2500
0.0000 0.0000 0.0000
0.5000 0.5000 0.5000
```

Formation energy (eV per atom): 1.73
V (Å³ per cell): 98.9